1.
Here is a relaxed KGeI2 crystal from Alexandria. Energies are from PBE.

Geometry as CIF:
```
data_KGeI2
_symmetry_space_group_name_H-M 'I -4 2 d'
_symmetry_Int_Tables_number 122
_symmetry_space_group_name_Hall 'I -4 2bw'
_cell_length_a 6.780
_cell_length_b 6.780
_cell_length_c 17.720
_cell_angle_alpha 90.00
_cell_angle_beta 90.00
_cell_angle_gamma 90.00
loop_
_atom_site_label
_atom_site_type_symbol
_atom_site_fract_x
_atom_site_fract_y
_atom_site_fract_z
K1 K 0.000 0.000 0.000
Ge1 Ge 0.000 0.000 0.500
I1 I 0.184 0.250 0.625
```


2.
Here is a relaxed KGeI2 crystal from Alexandria. Energies are from PBE.

Geometry as CIF:
```
data_KGeI2
_symmetry_space_group_name_H-M 'F m -3 m'
_symmetry_Int_Tables_number 225
_symmetry_space_group_name_Hall '-F 4 2 3'
_cell_length_a 8.185
_cell_length_b 8.185
_cell_length_c 8.185
_cell_angle_alpha 90.00
_cell_angle_beta 90.00
_cell_angle_gamma 90.00
loop_
_atom_site_label
_atom_site_type_symbol
_atom_site_fract_x
_atom_site_fract_y
_atom_site_fract_z
K1 K 0.000 0.000 0.000
Ge1 Ge 0.000 0.000 0.500
I1 I 0.250 0.250 0.250
```


Of them, the most stable is 1 and the least stable is 2.


1.
Here is a relaxed KGeI2O crystal from Alexandria. Energies are from PBE.

Geometry as CIF:
```
data_KGeI2O
_symmetry_space_group_name_H-M 'P 4/m m m'
_symmetry_Int_Tables_number 123
_symmetry_space_group_name_Hall '-P 4 2'
_cell_length_a 6.151
_cell_length_b 6.151
_cell_length_c 3.835
_cell_angle_alpha 90.00
_cell_angle_beta 90.00
_cell_angle_gamma 90.00
loop_
_atom_site_label
_atom_site_type_symbol
_atom_site_fract_x
_atom_site_fract_y
_atom_site_fract_z
K1 K 0.000 0.000 0.000
Ge1 Ge 0.500 0.500 0.500
I1 I 0.000 0.500 0.500
O1 O 0.500 0.500 0.000
```


2.
Here is a relaxed KGeI2O crystal from Alexandria. Energies are from PBE.

Geometry as CIF:
```
data_KGeI2O
_symmetry_space_group_name_H-M 'P 4/m m m'
_symmetry_Int_Tables_number 123
_symmetry_space_group_name_Hall '-P 4 2'
_cell_length_a 6.289
_cell_length_b 6.289
_cell_length_c 4.556
_cell_angle_alpha 90.00
_cell_angle_beta 90.00
_cell_angle_gamma 90.00
loop_
_atom_site_label
_atom_site_type_symbol
_atom_site_fract_x
_atom_site_fract_y
_atom_site_fract_z
K1 K 0.000 0.000 0.000
Ge1 Ge 0.500 0.500 0.500
I1 I 0.000 0.500 0.000
O1 O 0.000 0.000 0.500
```


Of them, the most stable is 1 and the least stable is 2.


1.
Here is a relaxed KGeSb2I crystal from Alexandria. Energies are from PBE.

Geometry as CIF:
```
data_KGeSb2I
_symmetry_space_group_name_H-M 'P 4/m m m'
_symmetry_Int_Tables_number 123
_symmetry_space_group_name_Hall '-P 4 2'
_cell_length_a 5.381
_cell_length_b 5.381
_cell_length_c 6.745
_cell_angle_alpha 90.00
_cell_angle_beta 90.00
_cell_angle_gamma 90.00
loop_
_atom_site_label
_atom_site_type_symbol
_atom_site_fract_x
_atom_site_fract_y
_atom_site_fract_z
K1 K 0.000 0.000 0.000
Ge1 Ge 0.500 0.500 0.500
Sb1 Sb 0.000 0.500 0.500
I1 I 0.500 0.500 0.000
```


2.
Here is a relaxed KGeSb2I crystal from Alexandria. Energies are from PBE.

Geometry as CIF:
```
data_KGeSb2I
_symmetry_space_group_name_H-M 'P 4/m m m'
_symmetry_Int_Tables_number 123
_symmetry_space_group_name_Hall '-P 4 2'
_cell_length_a 6.045
_cell_length_b 6.045
_cell_length_c 6.051
_cell_angle_alpha 90.00
_cell_angle_beta 90.00
_cell_angle_gamma 90.00
loop_
_atom_site_label
_atom_site_type_symbol
_atom_site_fract_x
_atom_site_fract_y
_atom_site_fract_z
K1 K 0.000 0.000 0.000
Ge1 Ge 0.500 0.500 0.500
Sb1 Sb 0.000 0.500 0.000
I1 I 0.000 0.000 0.500
```


Of them, the most stable is 1 and the least stable is 2.


1.
Here is a relaxed La2GeI crystal from Alexandria. Energies are from PBE.

Geometry as CIF:
```
data_La2GeI
_symmetry_space_group_name_H-M 'R -3 m'
_symmetry_Int_Tables_number 166
_symmetry_space_group_name_Hall '-R 3 2"'
_cell_length_a 4.4686
_cell_length_b 4.4686
_cell_length_c 23.2944
_cell_angle_alpha 90.00
_cell_angle_beta 90.00
_cell_angle_gamma 120.00
loop_
_atom_site_label
_atom_site_type_symbol
_atom_site_fract_x
_atom_site_fract_y
_atom_site_fract_z
La1 La 0.0000 0.0000 0.2346
Ge1 Ge 0.0000 0.0000 0.5000
I1 I 0.0000 0.0000 0.0000
```


2.
Here is a relaxed La2GeI crystal from Alexandria. Energies are from PBE.

Geometry as CIF:
```
data_La2GeI
_symmetry_space_group_name_H-M 'P 4/m m m'
_symmetry_Int_Tables_number 123
_symmetry_space_group_name_Hall '-P 4 2'
_cell_length_a 3.814
_cell_length_b 3.814
_cell_length_c 8.165
_cell_angle_alpha 90.00
_cell_angle_beta 90.00
_cell_angle_gamma 90.00
loop_
_atom_site_label
_atom_site_type_symbol
_atom_site_fract_x
_atom_site_fract_y
_atom_site_fract_z
La1 La 0.000 0.000 0.213
Ge1 Ge 0.500 0.500 0.000
I1 I 0.500 0.500 0.500
```


Of them, the most stable is 1 and the least stable is 2.


1.
Here is a relaxed La2GeI crystal from Alexandria. Energies are from PBE.

Geometry as CIF:
```
data_La2GeI
_symmetry_space_group_name_H-M 'R 3 m'
_symmetry_Int_Tables_number 160
_symmetry_space_group_name_Hall 'R 3 -2"'
_cell_length_a 4.4039
_cell_length_b 4.4039
_cell_length_c 24.1473
_cell_angle_alpha 90.00
_cell_angle_beta 90.00
_cell_angle_gamma 120.00
loop_
_atom_site_label
_atom_site_type_symbol
_atom_site_fract_x
_atom_site_fract_y
_atom_site_fract_z
La1 La 0.0000 0.0000 0.0000
La2 La 0.0000 0.0000 0.1995
Ge1 Ge 0.0000 0.0000 0.5988
I1 I 0.0000 0.0000 0.7681
```


2.
Here is a relaxed La2GeI crystal from Alexandria. Energies are from PBE.

Geometry as CIF:
```
data_La2GeI
_symmetry_space_group_name_H-M 'F m -3 m'
_symmetry_Int_Tables_number 225
_symmetry_space_group_name_Hall '-F 4 2 3'
_cell_length_a 7.754
_cell_length_b 7.754
_cell_length_c 7.754
_cell_angle_alpha 90.00
_cell_angle_beta 90.00
_cell_angle_gamma 90.00
loop_
_atom_site_label
_atom_site_type_symbol
_atom_site_fract_x
_atom_site_fract_y
_atom_site_fract_z
La1 La 0.250 0.250 0.250
Ge1 Ge 0.000 0.000 0.000
I1 I 0.000 0.000 0.500
```


Of them, the most stable is 1 and the least stable is 2.


1.
Here is a relaxed La4Ge2I5 crystal from Alexandria. Energies are from PBE.

Geometry as CIF:
```
data_La4Ge2I5
_symmetry_space_group_name_H-M 'P -1'
_symmetry_Int_Tables_number 2
_symmetry_space_group_name_Hall '-P 1'
_cell_length_a 4.869
_cell_length_b 9.917
_cell_length_c 10.118
_cell_angle_alpha 100.90
_cell_angle_beta 103.31
_cell_angle_gamma 97.20
loop_
_atom_site_label
_atom_site_type_symbol
_atom_site_fract_x
_atom_site_fract_y
_atom_site_fract_z
La1 La 0.096 0.261 0.001
La2 La 0.388 0.420 0.709
Ge1 Ge 0.325 0.571 0.982
I1 I 0.139 0.349 0.351
I2 I 0.178 0.815 0.338
I3 I 0.500 0.000 0.000
```


2.
Here is a relaxed La4Ge2I5 crystal from Alexandria. Energies are from PBE.

Geometry as CIF:
```
data_La4Ge2I5
_symmetry_space_group_name_H-M 'C 1 2/m 1'
_symmetry_Int_Tables_number 12
_symmetry_space_group_name_Hall '-C 2y'
_cell_length_a 24.288
_cell_length_b 4.403
_cell_length_c 8.873
_cell_angle_alpha 90.00
_cell_angle_beta 91.08
_cell_angle_gamma 90.00
loop_
_atom_site_label
_atom_site_type_symbol
_atom_site_fract_x
_atom_site_fract_y
_atom_site_fract_z
La1 La 0.011 0.000 0.211
La2 La 0.162 0.500 0.056
Ge1 Ge 0.049 0.500 0.981
I1 I 0.000 0.500 0.500
I2 I 0.144 0.000 0.319
I3 I 0.206 0.000 0.812
```


Of them, the most stable is 2 and the least stable is 1.


1.
Here is a relaxed LaGeI crystal from Alexandria. Energies are from PBE.

Geometry as CIF:
```
data_LaGeI
_symmetry_space_group_name_H-M 'P -3 m 1'
_symmetry_Int_Tables_number 164
_symmetry_space_group_name_Hall '-P 3 2"'
_cell_length_a 4.4345
_cell_length_b 4.4345
_cell_length_c 12.2562
_cell_angle_alpha 90.00
_cell_angle_beta 90.00
_cell_angle_gamma 120.00
loop_
_atom_site_label
_atom_site_type_symbol
_atom_site_fract_x
_atom_site_fract_y
_atom_site_fract_z
La1 La 0.0000 0.0000 0.1669
Ge1 Ge 0.3333 0.6667 0.9900
I1 I 0.3333 0.6667 0.3377
```


2.
Here is a relaxed LaGeI crystal from Alexandria. Energies are from PBE.

Geometry as CIF:
```
data_LaGeI
_symmetry_space_group_name_H-M 'P n m a'
_symmetry_Int_Tables_number 62
_symmetry_space_group_name_Hall '-P 2ac 2n'
_cell_length_a 15.105
_cell_length_b 4.518
_cell_length_c 6.660
_cell_angle_alpha 90.00
_cell_angle_beta 90.00
_cell_angle_gamma 90.00
loop_
_atom_site_label
_atom_site_type_symbol
_atom_site_fract_x
_atom_site_fract_y
_atom_site_fract_z
La1 La 0.169 0.250 0.002
Ge1 Ge 0.033 0.750 0.000
I1 I 0.167 0.250 0.502
```


Of them, the most stable is 1 and the least stable is 2.